Record 1
A plane-wave DFT calculation with GGA-PBEsol was carried out for CuTc2Pb after structural relaxation.

Properties
- space-group type = C2/m
- formation energy (kJ per mole of atoms) = 70
- theoretical density (g/cm3) = 12.19
- uncorrected energy (eV/f.u.) = -27.953

Cell lengths 2.9095, 4.6517, 5.4147 Å; angles 114.61, 104.35, 92.78 degrees
With the nearest neighbours (Å) after each atom.
Positions (direct):
Pb: 0.0000 0.5000 0.0000  4 Cu 2.68-2.80, 4 Tc 2.74, 2 Pb 2.91
Cu: 0.5000 0.0000 0.0000  4 Pb 2.68-2.80, 4 Tc 2.74, 2 Cu 2.91
Tc: 0.0000 0.0000 0.5000  6 Tc 2.68-2.91, 2 Pb 2.74, 2 Cu 2.74
Tc: 0.5000 0.5000 0.5000  6 Tc 2.68-2.91, 2 Cu 2.74, 2 Pb 2.74

***

Record 2
A plane-wave DFT calculation with GGA-PBEsol was carried out for CuTc2Pb after structural relaxation.

Properties
- space-group type = Imm2
- formation energy (kJ per mole of atoms) = 54
- theoretical density (g/cm3) = 12.54
- uncorrected energy (eV/f.u.) = -28.609

Cell lengths 3.9692, 4.2238, 4.6891 Å; angles 116.77, 115.04, 90.00 degrees
With the nearest neighbours (Å) after each atom.
Positions (direct):
Pb: 0.2510 0.7510 0.5020  4 Cu 2.73-2.78, 8 Tc 2.76-2.90
Tc: 0.7417 0.2417 0.4833  4 Tc 2.61-2.90, 4 Cu 2.73-2.78, 4 Pb 2.90
Tc: 0.0109 0.0109 0.0217  4 Tc 2.61-2.90, 4 Pb 2.76, 4 Cu 2.90
Cu: 0.4965 0.4965 0.9929  4 Pb 2.73-2.78, 8 Tc 2.73-2.90

***

What did the first record say?
A plane-wave DFT calculation with GGA-PBEsol was carried out for CuTc2Pb after structural relaxation.

Properties
- space-group type = C2/m
- formation energy (kJ per mole of atoms) = 70
- theoretical density (g/cm3) = 12.19
- uncorrected energy (eV/f.u.) = -27.953

Cell lengths 2.9095, 4.6517, 5.4147 Å; angles 114.61, 104.35, 92.78 degrees
With the nearest neighbours (Å) after each atom.
Positions (direct):
Pb: 0.0000 0.5000 0.0000  4 Cu 2.68-2.80, 4 Tc 2.74, 2 Pb 2.91
Cu: 0.5000 0.0000 0.0000  4 Pb 2.68-2.80, 4 Tc 2.74, 2 Cu 2.91
Tc: 0.0000 0.0000 0.5000  6 Tc 2.68-2.91, 2 Pb 2.74, 2 Cu 2.74
Tc: 0.5000 0.5000 0.5000  6 Tc 2.68-2.91, 2 Cu 2.74, 2 Pb 2.74

***

Repeat the first record exactly.
A plane-wave DFT calculation with GGA-PBEsol was carried out for CuTc2Pb after structural relaxation.

Properties
- space-group type = C2/m
- formation energy (kJ per mole of atoms) = 70
- theoretical density (g/cm3) = 12.19
- uncorrected energy (eV/f.u.) = -27.953

Cell lengths 2.9095, 4.6517, 5.4147 Å; angles 114.61, 104.35, 92.78 degrees
With the nearest neighbours (Å) after each atom.
Positions (direct):
Pb: 0.0000 0.5000 0.0000  4 Cu 2.68-2.80, 4 Tc 2.74, 2 Pb 2.91
Cu: 0.5000 0.0000 0.0000  4 Pb 2.68-2.80, 4 Tc 2.74, 2 Cu 2.91
Tc: 0.0000 0.0000 0.5000  6 Tc 2.68-2.91, 2 Pb 2.74, 2 Cu 2.74
Tc: 0.5000 0.5000 0.5000  6 Tc 2.68-2.91, 2 Cu 2.74, 2 Pb 2.74

***

- Among the records above, which one has the highest theoretical density?
  number 2